Entry 1:
Na5TlCd5 | PBE | optimized geometry

- Calculated volume: 28.7 Å³ per atom
- E_form: -0.0602 eV per atom

Lattice parameters (Å, degrees): 5.7887 5.7887 10.8821 90.00 90.00 120.00
Space group P-6m2 (No. 187)
Inequivalent atoms, fractional coordinates:
Na1 0.0000 0.0000 0.0000
Na2 0.3333 0.6667 0.3216
Na3 0.6667 0.3333 0.1801
Tl1 0.3333 0.6667 0.0000
Cd1 0.0000 0.0000 0.2675
Cd2 0.3389 0.1695 0.5000

=====

Entry 2:
Na4Tl6Cd | PBE | optimized geometry

- Calculated volume: 30.6 Å³ per atom
- E_form: -0.0287 eV per atom

Lattice parameters (Å, degrees): 6.400 6.400 16.435 90.00 90.00 90.00
Space group I-42m (No. 121)
Inequivalent atoms, fractional coordinates:
Na1 0.196 0.196 0.170
Tl1 0.000 0.500 0.000
Tl2 0.187 0.187 0.367
Cd1 0.000 0.000 0.000

=====

Entry 3:
NaTlCd6 | PBE | optimized geometry

- Energy above the most stable polymorph in this dataset: 70 meV/atom
- Calculated volume: 25.3 Å³ per atom
- E_form: 0.0449 eV per atom

Lattice parameters (Å, degrees): 5.871 5.871 5.871 90.00 90.00 90.00
Space group Pm-3 (No. 200)
Inequivalent atoms, fractional coordinates:
Na1 0.000 0.000 0.000
Tl1 0.500 0.500 0.500
Cd1 0.000 0.244 0.500

=====

Entry 4:
Na2Tl2Cd | PBE | optimized geometry

- Energy above the most stable polymorph in this dataset: 0 meV/atom
- Calculated volume: 28.2 Å³ per atom
- E_form: -0.0830 eV per atom

Lattice parameters (Å, degrees): 11.883 5.572 9.193 90.00 112.23 90.00
Space group C2/m (No. 12)
Inequivalent atoms, fractional coordinates:
Na1 0.050 0.000 0.351
Na2 0.164 0.000 0.046
Tl1 0.040 0.500 0.854
Tl2 0.149 0.500 0.572
Cd1 0.244 0.500 0.275

=====

Entry 5:
Na2Tl5Cd2 | PBE | optimized geometry

- Energy above the most stable polymorph in this dataset: 0 meV/atom
- Calculated volume: 28.1 Å³ per atom
- E_form: -0.0477 eV per atom

Lattice parameters (Å, degrees): 13.186 5.015 8.012 90.00 107.12 90.00
Space group C2/m (No. 12)
Inequivalent atoms, fractional coordinates:
Na1 0.160 0.000 0.492
Tl1 0.000 0.500 0.500
Tl2 0.066 0.000 0.843
Tl3 0.119 0.500 0.165
Cd1 0.222 0.500 0.822

=====

Entry 6:
Na2Tl2Cd15 | PBE | optimized geometry

- Calculated volume: 25.1 Å³ per atom
- E_form: -0.0169 eV per atom

Lattice parameters (Å, degrees): 10.5124 10.5124 14.9622 90.00 90.00 120.00
Space group R-3m (No. 166, hexagonal axes)
Inequivalent atoms, fractional coordinates:
Na1 0.0000 0.0000 0.1535
Tl1 0.0000 0.0000 0.3929
Cd1 0.0000 0.3071 0.5000
Cd2 0.0000 0.5000 0.0000
Cd3 0.0190 0.5095 0.6495

=====

Entry 7:
Na4Tl2Cd5 | PBE | optimized geometry

- Energy above the most stable polymorph in this dataset: 16 meV/atom
- Calculated volume: 26.6 Å³ per atom
- E_form: -0.0740 eV per atom

Lattice parameters (Å, degrees): 8.009 3.395 10.790 90.00 94.03 90.00
Space group P2/m (No. 10)
Inequivalent atoms, fractional coordinates:
Na1 0.160 0.000 0.399
Na2 0.295 0.000 0.946
Tl1 0.058 0.500 0.142
Cd1 0.212 0.500 0.666
Cd2 0.434 0.500 0.217
Cd3 0.500 0.500 0.500

=====

Entry 8:
Na10Tl3Cd3 | PBE | optimized geometry

- Calculated volume: 30.1 Å³ per atom
- E_form: -0.0562 eV per atom

Lattice parameters (Å, degrees): 9.4537 9.4537 6.2288 90.00 90.00 120.00
Space group P-62m (No. 189)
Inequivalent atoms, fractional coordinates:
Na1 0.0000 0.2390 0.0000
Na2 0.0000 0.7584 0.5000
Na3 0.3333 0.6667 0.2522
Tl1 0.0000 0.5869 0.0000
Cd1 0.0000 0.4088 0.5000